Record 1
This record from Alexandria via LeMat-Bulk describes a relaxed structure of SiPbAu2. The functional is PBEsol.

abc: 4.684 4.684 3.687
angles: 90.00 90.00 101.77
Sites, in units of the cell vectors:
Si (0.000, 0.000, 0.000)
Pb (0.500, 0.500, 0.000)
Au (0.000, 0.500, 0.500)
Au (0.500, 0.000, 0.500)

total magnetic moment	0.00	μB per formula unit
excess energy over the best structure of this formula in the dataset	0	meV/atom
calculated total energy	-16.6	eV for the cell shown
Fermi-level density of states	0.43	states/eV per atom
space group	Cmmm, No. 65
formation energy from raw total energies	24	kJ per mole of atoms

Record 2
This record from Alexandria via LeMat-Bulk describes a relaxed structure of SmPbAu2. The functional is PBEsol.

abc: 5.009 5.009 5.009
angles: 60.00 60.00 60.00
Sites, in units of the cell vectors:
Sm (0.000, 0.000, 0.000)
Pb (0.500, 0.500, 0.500)
Au (0.250, 0.250, 0.250)
Au (0.750, 0.750, 0.750)

total magnetic moment	0.00	μB per formula unit
calculated total energy	-19.4	eV for the cell shown
E_form	-0.607	eV per atom
Fermi-level density of states	0.29	states/eV per atom
space group	Fm-3m, No. 225

Record 3
This record from Alexandria via LeMat-Bulk describes a relaxed structure of Sn2Pb2Au. The functional is PBEsol.

abc: 7.103 7.103 5.302
angles: 90.00 90.00 90.00
Sites, in units of the cell vectors:
Sn (0.144, 0.356, 0.000)
Sn (0.356, 0.856, 0.000)
Sn (0.644, 0.144, 0.000)
Sn (0.856, 0.644, 0.000)
Pb (0.178, 0.678, 0.500)
Pb (0.322, 0.178, 0.500)
Pb (0.678, 0.822, 0.500)
Pb (0.822, 0.322, 0.500)
Au (0.000, 0.000, 0.000)
Au (0.500, 0.500, 0.000)

total magnetic moment	0.00	μB per formula unit
calculated total energy	-40.8	eV for the cell shown
E_form	0.007	eV per atom
Fermi-level density of states	0.49	states/eV per atom
space group	P4/mbm, No. 127

Record 4
This record from Alexandria via LeMat-Bulk describes a relaxed structure of Sn3PbAu. The functional is PBEsol.

abc: 5.320 5.320 5.320
angles: 90.00 90.00 90.00
Sites, in units of the cell vectors:
Sn (0.000, 0.000, 0.500)
Sn (0.000, 0.500, 0.000)
Sn (0.500, 0.000, 0.000)
Pb (0.500, 0.500, 0.500)
Au (0.000, 0.000, 0.000)

total magnetic moment	0.00	μB per formula unit
calculated total energy	-19.3	eV for the cell shown
E_form	0.288	eV per atom
Fermi-level density of states	0.55	states/eV per atom
space group	Pm-3m, No. 221

Record 5
This record from Alexandria via LeMat-Bulk describes a relaxed structure of Sr2PbAu. The functional is PBEsol.

abc: 6.896 6.896 6.896
angles: 147.83 135.38 56.06
Sites, in units of the cell vectors:
Sr (0.000, 0.000, 0.000)
Sr (0.706, 0.206, 0.500)
Pb (0.408, 0.408, 0.000)
Au (0.215, 0.715, 0.500)

total magnetic moment	0.00	μB per formula unit
calculated total energy	-13.8	eV for the cell shown
E_form	-0.540	eV per atom
Fermi-level density of states	0.31	states/eV per atom
space group	Imm2, No. 44

Record 6
This record from Alexandria via LeMat-Bulk describes a relaxed structure of SrPbAu. The functional is PBEsol.

abc: 4.922 4.922 3.874
angles: 90.00 90.00 120.00
Sites, in units of the cell vectors:
Sr (0.000, 0.000, 0.000)
Pb (0.667, 0.333, 0.500)
Au (0.333, 0.667, 0.500)

total magnetic moment	0.00	μB per formula unit
calculated total energy	-11.5	eV for the cell shown
E_form	-0.595	eV per atom
Fermi-level density of states	0.24	states/eV per atom
space group	P-6m2, No. 187

Record 7
This record from Alexandria via LeMat-Bulk describes a relaxed structure of Sr2PbAu. The functional is PBEsol.

abc: 6.267 6.267 6.267
angles: 136.04 136.04 63.92
Sites, in units of the cell vectors:
Sr (0.000, 0.000, 0.000)
Sr (0.750, 0.250, 0.500)
Pb (0.250, 0.750, 0.500)
Au (0.500, 0.500, 0.000)

total magnetic moment	0.00	μB per formula unit
calculated total energy	-13.3	eV for the cell shown
E_form	-0.425	eV per atom
Fermi-level density of states	0.66	states/eV per atom
space group	I-4m2, No. 119

Record 8
This record from Alexandria via LeMat-Bulk describes a relaxed structure of SrPbAu4. The functional is PBEsol.

abc: 5.641 5.641 5.641
angles: 60.00 60.00 60.00
Sites, in units of the cell vectors:
Sr (0.000, 0.000, 0.000)
Pb (0.750, 0.750, 0.750)
Au (0.375, 0.375, 0.375)
Au (0.375, 0.375, 0.875)
Au (0.375, 0.875, 0.375)
Au (0.875, 0.375, 0.375)

total magnetic moment	0.00	μB per formula unit
calculated total energy	-23.9	eV for the cell shown
E_form	-0.395	eV per atom
Fermi-level density of states	0.40	states/eV per atom
space group	F-43m, No. 216

Record 9
This record from Alexandria via LeMat-Bulk describes a relaxed structure of Sr2PbAu. The functional is PBEsol.

abc: 5.633 5.633 3.757
angles: 90.00 90.00 90.00
Sites, in units of the cell vectors:
Sr (0.000, 0.500, 0.000)
Sr (0.500, 0.000, 0.000)
Pb (0.000, 0.000, 0.500)
Au (0.500, 0.500, 0.500)

total magnetic moment	0.00	μB per formula unit
calculated total energy	-14.0	eV for the cell shown
E_form	-0.596	eV per atom
Fermi-level density of states	0.38	states/eV per atom
space group	P4/mmm, No. 123

Record 10
This record from Alexandria via LeMat-Bulk describes a relaxed structure of TbPbAu. The functional is PBEsol.

abc: 4.758 4.758 4.758
angles: 60.00 60.00 60.00
Sites, in units of the cell vectors:
Tb (0.000, 0.000, 0.000)
Pb (0.500, 0.500, 0.500)
Au (0.250, 0.250, 0.250)

total magnetic moment	0.00	μB per formula unit
calculated total energy	-15.1	eV for the cell shown
E_form	-0.723	eV per atom
Fermi-level density of states	0.06	states/eV per atom
space group	F-43m, No. 216

Record 11
This record from Alexandria via LeMat-Bulk describes a relaxed structure of TcPb2Au. The functional is PBEsol.

abc: 4.861 4.861 5.409
angles: 101.65 101.65 41.09
Sites, in units of the cell vectors:
Tc (0.000, 0.000, 0.000)
Pb (0.259, 0.259, 0.767)
Pb (0.741, 0.741, 0.233)
Au (0.500, 0.500, 0.500)

total magnetic moment	0.02	μB per formula unit
calculated total energy	-20.7	eV for the cell shown
E_form	0.619	eV per atom
Fermi-level density of states	0.89	states/eV per atom
space group	C2/m, No. 12

Record 12
This record from Alexandria via LeMat-Bulk describes a relaxed structure of YTc2PbAu. The functional is PBEsol.

abc: 4.957 4.957 5.089
angles: 90.00 90.00 90.00
Sites, in units of the cell vectors:
Y (0.000, 0.000, 0.000)
Tc (0.000, 0.500, 0.500)
Tc (0.500, 0.000, 0.500)
Pb (0.500, 0.500, 0.000)
Au (0.500, 0.500, 0.500)

total magnetic moment	3.92	μB per formula unit
calculated total energy	-30.1	eV for the cell shown
E_form	1.442	eV per atom
Fermi-level density of states	1.02	states/eV per atom
space group	P4/mmm, No. 123

Record 13
This record from Alexandria via LeMat-Bulk describes a relaxed structure of Te2PbAu. The functional is PBEsol.

abc: 5.944 5.944 5.944
angles: 140.59 121.91 72.47
Sites, in units of the cell vectors:
Te (0.188, 0.188, 0.000)
Te (0.812, 0.812, 0.000)
Pb (0.500, 0.000, 0.500)
Au (0.000, 0.500, 0.500)

total magnetic moment	0.00	μB per formula unit
calculated total energy	-15.3	eV for the cell shown
Fermi-level density of states	0.36	states/eV per atom
space group	Immm, No. 71
formation energy from raw total energies	-7	kJ per mole of atoms

Record 14
This record from Alexandria via LeMat-Bulk describes a relaxed structure of TePb2Au. The functional is PBEsol.

abc: 4.354 4.354 6.129
angles: 90.00 90.00 90.00
Sites, in units of the cell vectors:
Te (0.000, 0.000, 0.000)
Pb (0.000, 0.000, 0.500)
Pb (0.500, 0.500, 0.000)
Au (0.500, 0.500, 0.500)

total magnetic moment	0.00	μB per formula unit
calculated total energy	-15.7	eV for the cell shown
Fermi-level density of states	0.28	states/eV per atom
space group	P4/mmm, No. 123
formation energy from raw total energies	-7	kJ per mole of atoms

Record 15
This record from Alexandria via LeMat-Bulk describes a relaxed structure of Te2PbAu2. The functional is PBEsol.

abc: 8.257 8.257 8.257
angles: 151.84 151.84 40.25
Sites, in units of the cell vectors:
Te (0.115, 0.115, 0.000)
Te (0.885, 0.885, 0.000)
Pb (0.500, 0.500, 0.000)
Au (0.250, 0.750, 0.500)
Au (0.750, 0.250, 0.500)

total magnetic moment	0.00	μB per formula unit
calculated total energy	-18.9	eV for the cell shown
Fermi-level density of states	0.35	states/eV per atom
space group	I4/mmm, No. 139
formation energy from raw total energies	-1	kJ per mole of atoms